Record 1
This record from the Alexandria database describes Pr4TlCdAu2 after structural relaxation. The functional is PBE.

Unit cell a=5.3334 b=5.3334 c=9.7490 alpha=74.13 beta=74.13 gamma=60.00
Atoms (fractional coordinates):
Au 0.2652 0.2652 0.2045
Pr 0.3770 0.3770 0.8691
Pr 0.8772 0.8772 0.3683
Tl 0.5000 0.5000 0.5000
Au 0.7348 0.7348 0.7955
Pr 0.1228 0.1228 0.6317
Cd 0.0000 0.0000 0.0000
Pr 0.6230 0.6230 0.1309

Results
Space-group type   R-3m, No. 166
DOS(E_F)   7.211 states/eV per cell
Total magnetization   0.0 μB/f.u.
VASP energy   -4.128 eV/atom

***

Record 2
This record from the Alexandria database describes Mo2PIrRh after structural relaxation. The functional is PBE.

Unit cell a=4.7247 b=4.2561 c=4.7247 alpha=90.00 beta=90.00 gamma=90.00
Atoms (fractional coordinates):
Mo 0.5000 0.0000 0.0000
Rh 0.0000 0.0000 0.0000
P 0.0000 0.5000 0.0000
Ir 0.5000 0.5000 0.5000
Mo 0.0000 0.0000 0.5000

Results
Space-group type   P4/mmm, No. 123
DOS(E_F)   6.440 states/eV per cell
Total magnetization   1.7 μB/f.u.
VASP energy   -7.089 eV/atom

***

Record 3
This record from the Alexandria database describes Y2ScTc after structural relaxation. The functional is PBE.

Unit cell a=4.4580 b=3.4561 c=6.5242 alpha=73.27 beta=90.00 gamma=90.00
Atoms (fractional coordinates):
Tc 0.5000 0.7500 0.7500
Y 0.0000 0.9196 0.9737
Sc 0.5000 0.2500 0.2500
Y 0.0000 0.5804 0.5263

Results
Space-group type   P2/m, No. 10
DOS(E_F)   5.131 states/eV per cell
Total magnetization   0.0 μB/f.u.
VASP energy   -7.235 eV/atom

***

Record 4
This record from the Alexandria database describes Pm3TaO6 after structural relaxation. The functional is PBE.

Unit cell a=5.6265 b=7.3671 c=7.3671 alpha=98.38 beta=90.00 gamma=90.00
Atoms (fractional coordinates):
Ta 0.9785 0.1434 0.8566
Pm 0.4669 0.9000 0.6814
O 0.6697 0.2168 0.7832
O 0.6631 0.8887 0.3872
O 0.1967 0.6672 0.6333
O 0.6967 0.3328 0.3667
Pm 0.9669 0.6814 0.9000
O 0.1631 0.3872 0.8887
O 0.6967 0.6333 0.6672
O 0.1697 0.7832 0.2168
O 0.7708 0.9854 0.0146
O 0.2708 0.0146 0.9854
O 0.1631 0.1113 0.6128
O 0.1967 0.3667 0.3328
Pm 0.9131 0.6047 0.3953
O 0.6631 0.6128 0.1113
Pm 0.4669 0.3186 0.1000
Ta 0.4785 0.8566 0.1434
Pm 0.4131 0.3953 0.6047
Pm 0.9669 0.1000 0.3186

Results
Formation energy from raw total energies   -3041 meV/atom
Space-group type   Cmc2_1, No. 36
DOS(E_F)   2.729 states/eV per cell
Total magnetization   1.2 μB/f.u.

***

Record 5
This record from the Alexandria database describes Tb5SmYTh2 after structural relaxation. The functional is PBE.

Unit cell a=8.8361 b=8.8361 c=9.9359 alpha=116.40 beta=116.40 gamma=90.00
Atoms (fractional coordinates):
Y 0.2500 0.7500 0.5000
Tb 0.3481 0.8481 0.2765
Tb 0.0000 0.0000 0.0000
Tb 0.0717 0.5717 0.7235
Tb 0.4283 0.3481 0.2765
Th 0.8808 0.6192 0.0000
Y 0.7500 0.2500 0.5000
Sm 0.7500 0.7500 0.5000
Th 0.3808 0.8808 0.0000
Tb 0.6519 0.1519 0.7235
Tb 0.5717 0.6519 0.7235
Th 0.1192 0.3808 0.0000
Th 0.6192 0.1192 0.0000
Tb 0.5000 0.5000 0.0000
Sm 0.2500 0.2500 0.5000
Tb 0.1519 0.0717 0.7235
Tb 0.9283 0.4283 0.2765
Tb 0.8481 0.9283 0.2765

Results
Space-group type   I4/mcm, No. 140
DOS(E_F)   25.329 states/eV per cell
Total magnetization   0.0 μB/f.u.
VASP energy   -5.131 eV/atom

***

Record 6
This record from the Alexandria database describes YTa3Cu after structural relaxation. The functional is PBE.

Unit cell a=4.7764 b=4.7764 c=4.7764 alpha=90.00 beta=90.00 gamma=90.00
Atoms (fractional coordinates):
Ta 0.0000 0.0000 0.5000
Ta 0.5000 0.0000 0.0000
Y 0.5000 0.5000 0.5000
Ta 0.0000 0.5000 0.0000
Cu 0.0000 0.0000 0.0000

Results
Space-group type   Pm-3m, No. 221
DOS(E_F)   10.517 states/eV per cell
Total magnetization   0.0 μB/f.u.
VASP energy   -8.210 eV/atom

***

Record 7
This record from the Alexandria database describes BiPdSe2 after structural relaxation. The functional is PBE.

Unit cell a=6.1746 b=6.1746 c=7.6192 alpha=66.10 beta=66.10 gamma=90.00
Atoms (fractional coordinates):
Se 0.1778 0.6250 0.2500
Bi 0.0000 0.0000 0.0000
Pd 0.5000 0.5000 0.0000
Se 0.8750 0.8222 0.7500
Bi 0.7500 0.2500 0.5000
Se 0.3750 0.4278 0.7500
Pd 0.2500 0.7500 0.5000
Se 0.5722 0.1250 0.2500

Results
Formation energy from raw total energies   -115 meV/atom
Space-group type   I-42d, No. 122
DOS(E_F)   5.656 states/eV per cell
Total magnetization   0.0 μB/f.u.

***

Record 8
This record from the Alexandria database describes Ge3SbPd after structural relaxation. The functional is PBE.

Unit cell a=4.8950 b=4.8950 c=4.8950 alpha=90.00 beta=90.00 gamma=90.00
Atoms (fractional coordinates):
Pd 0.0000 0.0000 0.0000
Ge 0.0000 0.5000 0.0000
Ge 0.5000 0.0000 0.0000
Ge 0.0000 0.0000 0.5000
Sb 0.5000 0.5000 0.5000

Results
Formation energy from raw total energies   249 meV/atom
Space-group type   Pm-3m, No. 221
DOS(E_F)   2.076 states/eV per cell
Total magnetization   0.0 μB/f.u.

***

Which formula does entry 1 have? Pr4TlCdAu2

***

What is the formula in the first record? Pr4TlCdAu2

***

Look up the DOS(E_F) of the first one. 7.211 states/eV per cell